No. 1
Entry from Alexandria via LeMat-Bulk: K2Mg2S3O12 at its PBEsol-relaxed geometry (SCAN).

Output
VASP energy in eV/atom: -9.07
Uncorrected formation energy in eV per atom: -2.2188
Crystal system: cubic

Lattice parameters (Å, degrees): 9.942 9.942 9.942 90.00 90.00 90.00
Fractional coordinates of all 76 atoms:
1 K 0.067 0.067 0.067
2 K 0.201 0.701 0.799
3 K 0.299 0.299 0.299
4 K 0.433 0.933 0.567
5 K 0.567 0.433 0.933
6 K 0.701 0.799 0.201
7 K 0.799 0.201 0.701
8 K 0.933 0.567 0.433
9 Mg 0.085 0.915 0.415
10 Mg 0.151 0.349 0.651
11 Mg 0.349 0.651 0.151
12 Mg 0.415 0.085 0.915
13 Mg 0.585 0.585 0.585
14 Mg 0.651 0.151 0.349
15 Mg 0.849 0.849 0.849
16 Mg 0.915 0.415 0.085
17 S 0.034 0.731 0.126
18 S 0.126 0.034 0.731
19 S 0.231 0.374 0.966
20 S 0.269 0.626 0.466
21 S 0.374 0.966 0.231
22 S 0.466 0.269 0.626
23 S 0.534 0.769 0.874
24 S 0.626 0.466 0.269
25 S 0.731 0.126 0.034
26 S 0.769 0.874 0.534
27 S 0.874 0.534 0.769
28 S 0.966 0.231 0.374
29 O 0.001 0.090 0.348
30 O 0.014 0.808 0.253
31 O 0.024 0.944 0.791
32 O 0.056 0.291 0.476
33 O 0.079 0.175 0.743
34 O 0.090 0.348 0.001
35 O 0.152 0.999 0.590
36 O 0.175 0.743 0.079
37 O 0.192 0.753 0.486
38 O 0.209 0.524 0.556
39 O 0.243 0.421 0.825
40 O 0.247 0.986 0.308
41 O 0.253 0.014 0.808
42 O 0.257 0.579 0.325
43 O 0.291 0.476 0.056
44 O 0.308 0.247 0.986
45 O 0.325 0.257 0.579
46 O 0.348 0.001 0.090
47 O 0.410 0.652 0.501
48 O 0.421 0.825 0.243
49 O 0.444 0.709 0.976
50 O 0.476 0.056 0.291
51 O 0.486 0.192 0.753
52 O 0.499 0.910 0.848
53 O 0.501 0.410 0.652
54 O 0.514 0.692 0.747
55 O 0.524 0.556 0.209
56 O 0.556 0.209 0.524
57 O 0.579 0.325 0.257
58 O 0.590 0.152 0.999
59 O 0.652 0.501 0.410
60 O 0.675 0.757 0.921
61 O 0.692 0.747 0.514
62 O 0.709 0.976 0.444
63 O 0.743 0.079 0.175
64 O 0.747 0.514 0.692
65 O 0.753 0.486 0.192
66 O 0.757 0.921 0.675
67 O 0.791 0.024 0.944
68 O 0.808 0.253 0.014
69 O 0.825 0.243 0.421
70 O 0.848 0.499 0.910
71 O 0.910 0.848 0.499
72 O 0.921 0.675 0.757
73 O 0.944 0.791 0.024
74 O 0.976 0.444 0.709
75 O 0.986 0.308 0.247
76 O 0.999 0.590 0.152



No. 2
Entry from Alexandria via LeMat-Bulk: K2MgSiO at its PBEsol-relaxed geometry (SCAN).

Output
VASP energy in eV/atom: -7.27
Uncorrected formation energy in eV per atom: 0.3068
Crystal system: tetragonal

Lattice parameters (Å, degrees): 6.302 6.302 4.892 90.00 90.00 90.00
Fractional coordinates of all 5 atoms:
1 K 0.000 0.500 0.000
2 K 0.500 0.000 0.000
3 Mg 0.000 0.000 0.500
4 Si 0.000 0.000 0.000
5 O 0.500 0.500 0.500



No. 3
Entry from Alexandria via LeMat-Bulk: K2Mg2Si2O7 at its PBEsol-relaxed geometry (SCAN).

Output
VASP energy in eV/atom: -9.80
Uncorrected formation energy in eV per atom: -2.8545
Crystal system: trigonal

Lattice parameters (Å, degrees): 5.094 5.094 6.585 90.00 90.00 120.00
Fractional coordinates of all 13 atoms:
1 K 0.333 0.667 0.000
2 K 0.667 0.333 0.000
3 Mg 0.333 0.667 0.500
4 Mg 0.667 0.333 0.500
5 Si 0.000 0.000 0.258
6 Si 0.000 0.000 0.742
7 O 0.000 0.000 0.000
8 O 0.000 0.312 0.319
9 O 0.000 0.688 0.681
10 O 0.312 0.000 0.319
11 O 0.312 0.312 0.681
12 O 0.688 0.000 0.681
13 O 0.688 0.688 0.319



No. 4
Entry from Alexandria via LeMat-Bulk: K2MgSiO4 at its PBEsol-relaxed geometry (SCAN).

Output
VASP energy in eV/atom: -9.77
Uncorrected formation energy in eV per atom: -2.6986
Crystal system: orthorhombic

Lattice parameters (Å, degrees): 10.955 5.459 15.602 90.00 90.00 90.00
Fractional coordinates of all 64 atoms:
1 K 0.010 0.007 0.123
2 K 0.012 0.505 0.500
3 K 0.234 0.552 0.876
4 K 0.239 0.044 0.745
5 K 0.261 0.044 0.245
6 K 0.266 0.552 0.376
7 K 0.488 0.505 0.000
8 K 0.490 0.007 0.623
9 K 0.510 0.993 0.123
10 K 0.512 0.495 0.500
11 K 0.734 0.448 0.876
12 K 0.739 0.956 0.745
13 K 0.761 0.956 0.245
14 K 0.766 0.448 0.376
15 K 0.988 0.495 0.000
16 K 0.990 0.993 0.623
17 Mg 0.010 0.509 0.251
18 Mg 0.239 0.033 0.998
19 Mg 0.261 0.033 0.498
20 Mg 0.490 0.509 0.751
21 Mg 0.510 0.491 0.251
22 Mg 0.739 0.967 0.998
23 Mg 0.761 0.967 0.498
24 Mg 0.990 0.491 0.751
25 Si 0.007 0.009 0.373
26 Si 0.234 0.527 0.627
27 Si 0.266 0.527 0.127
28 Si 0.493 0.009 0.873
29 Si 0.507 0.991 0.373
30 Si 0.734 0.473 0.627
31 Si 0.766 0.473 0.127
32 Si 0.993 0.991 0.873
33 O 0.014 0.282 0.850
34 O 0.023 0.827 0.786
35 O 0.085 0.913 0.952
36 O 0.104 0.407 0.659
37 O 0.149 0.063 0.402
38 O 0.176 0.559 0.210
39 O 0.204 0.343 0.055
40 O 0.207 0.797 0.584
41 O 0.293 0.797 0.084
42 O 0.296 0.343 0.555
43 O 0.324 0.559 0.710
44 O 0.351 0.063 0.902
45 O 0.396 0.407 0.159
46 O 0.415 0.913 0.452
47 O 0.477 0.827 0.286
48 O 0.486 0.282 0.350
49 O 0.514 0.718 0.850
50 O 0.523 0.173 0.786
51 O 0.585 0.087 0.952
52 O 0.604 0.593 0.659
53 O 0.649 0.937 0.402
54 O 0.676 0.441 0.210
55 O 0.704 0.657 0.055
56 O 0.707 0.203 0.584
57 O 0.793 0.203 0.084
58 O 0.796 0.657 0.555
59 O 0.824 0.441 0.710
60 O 0.851 0.937 0.902
61 O 0.896 0.593 0.159
62 O 0.915 0.087 0.452
63 O 0.977 0.173 0.286
64 O 0.986 0.718 0.350



No. 5
Entry from Alexandria via LeMat-Bulk: K4MgOs at its PBEsol-relaxed geometry (SCAN).

Output
VASP energy in eV/atom: -17.08
Formation enthalpy at 0 K in eV per atom: 1.284
Crystal system: cubic

Lattice parameters (Å, degrees): 6.594 6.594 6.594 60.00 60.00 60.00
Fractional coordinates of all 6 atoms:
1 K 0.377 0.377 0.377
2 K 0.377 0.377 0.870
3 K 0.377 0.870 0.377
4 K 0.870 0.377 0.377
5 Mg 0.000 0.000 0.000
6 Os 0.750 0.750 0.750



No. 6
Entry from Alexandria via LeMat-Bulk: K2MgOs at its PBEsol-relaxed geometry (SCAN).

Output
VASP energy in eV/atom: -22.29
Formation enthalpy at 0 K in eV per atom: 1.083
Crystal system: orthorhombic

Lattice parameters (Å, degrees): 2.922 5.142 5.913 90.00 90.00 90.00
Fractional coordinates of all 4 atoms:
1 K 0.000 0.000 0.000
2 K 0.500 0.500 0.000
3 Mg 0.000 0.500 0.500
4 Os 0.500 0.000 0.500



No. 7
Entry from Alexandria via LeMat-Bulk: K2MgOs at its PBEsol-relaxed geometry (SCAN).

Output
VASP energy in eV/atom: -22.32
Formation enthalpy at 0 K in eV per atom: 1.054
Crystal system: trigonal

Lattice parameters (Å, degrees): 2.953 2.953 36.598 90.00 90.00 120.00
Fractional coordinates of all 12 atoms:
1 K 0.000 0.000 0.240
2 K 0.000 0.000 0.760
3 K 0.333 0.667 0.426
4 K 0.333 0.667 0.907
5 K 0.667 0.333 0.093
6 K 0.667 0.333 0.574
7 Mg 0.000 0.000 0.000
8 Mg 0.333 0.667 0.667
9 Mg 0.667 0.333 0.333
10 Os 0.000 0.000 0.500
11 Os 0.333 0.667 0.167
12 Os 0.667 0.333 0.833



No. 8
Entry from Alexandria via LeMat-Bulk: KMg2Os at its PBEsol-relaxed geometry (SCAN).

Output
VASP energy in eV/atom: -21.76
Polymorph energy (0 for the lowest one) in kJ/mol of formula units: 51
Formation enthalpy at 0 K in eV per atom: 0.776
Crystal system: cubic

Lattice parameters (Å, degrees): 6.843 6.843 6.843 90.00 90.00 90.00
Fractional coordinates of all 16 atoms:
1 K 0.000 0.000 0.000
2 K 0.000 0.500 0.500
3 K 0.500 0.000 0.500
4 K 0.500 0.500 0.000
5 Mg 0.250 0.250 0.250
6 Mg 0.250 0.250 0.750
7 Mg 0.250 0.750 0.250
8 Mg 0.250 0.750 0.750
9 Mg 0.750 0.250 0.250
10 Mg 0.750 0.250 0.750
11 Mg 0.750 0.750 0.250
12 Mg 0.750 0.750 0.750
13 Os 0.000 0.000 0.500
14 Os 0.000 0.500 0.000
15 Os 0.500 0.000 0.000
16 Os 0.500 0.500 0.500



No. 9
Entry from Alexandria via LeMat-Bulk: KMg2Os at its PBEsol-relaxed geometry (SCAN).

Output
VASP energy in eV/atom: -21.89
Polymorph energy (0 for the lowest one) in kJ/mol of formula units: 0
Formation enthalpy at 0 K in eV per atom: 0.645
Crystal system: tetragonal

Lattice parameters (Å, degrees): 3.461 3.461 8.296 90.00 90.00 90.00
Fractional coordinates of all 4 atoms:
1 K 0.000 0.000 0.000
2 Mg 0.000 0.000 0.602
3 Mg 0.500 0.500 0.385
4 Os 0.500 0.500 0.706



No. 10
Entry from Alexandria via LeMat-Bulk: KMgOs2 at its PBEsol-relaxed geometry (SCAN).

Output
VASP energy in eV/atom: -38.83
Formation enthalpy at 0 K in eV per atom: 0.440
Crystal system: orthorhombic

Lattice parameters (Å, degrees): 2.775 3.817 8.395 90.00 90.00 90.00
Fractional coordinates of all 4 atoms:
1 K 0.000 0.000 0.000
2 Mg 0.500 0.500 0.372
3 Os 0.000 0.000 0.581
4 Os 0.500 0.500 0.694



No. 11
Entry from Alexandria via LeMat-Bulk: K3MgOs at its PBEsol-relaxed geometry (SCAN).

Output
VASP energy in eV/atom: -18.68
Formation enthalpy at 0 K in eV per atom: 1.691
Crystal system: cubic

Lattice parameters (Å, degrees): 6.414 6.414 6.414 90.00 90.00 90.00
Fractional coordinates of all 5 atoms:
1 K 0.000 0.000 0.500
2 K 0.000 0.500 0.000
3 K 0.500 0.000 0.000
4 Mg 0.000 0.000 0.000
5 Os 0.500 0.500 0.500



No. 12
Entry from Alexandria via LeMat-Bulk: K2MgOs at its PBEsol-relaxed geometry (SCAN).

Output
VASP energy in eV/atom: -22.20
Formation enthalpy at 0 K in eV per atom: 1.182
Crystal system: cubic

Lattice parameters (Å, degrees): 7.235 7.235 7.235 90.00 90.00 90.00
Fractional coordinates of all 16 atoms:
1 K 0.000 0.000 0.000
2 K 0.000 0.500 0.500
3 K 0.250 0.250 0.250
4 K 0.250 0.750 0.750
5 K 0.500 0.000 0.500
6 K 0.500 0.500 0.000
7 K 0.750 0.250 0.750
8 K 0.750 0.750 0.250
9 Mg 0.000 0.000 0.500
10 Mg 0.000 0.500 0.000
11 Mg 0.500 0.000 0.000
12 Mg 0.500 0.500 0.500
13 Os 0.250 0.250 0.750
14 Os 0.250 0.750 0.250
15 Os 0.750 0.250 0.250
16 Os 0.750 0.750 0.750